Material: Rb2Sn7Bi
Method: DFT, PBE
State: relaxed

a = 5.473 Å, b = 5.473 Å, c = 11.918 Å
α = 90.00°, β = 90.00°, γ = 90.00°
Sites, in units of the cell vectors:
1 Rb 0.000 0.500 0.249
2 Rb 0.500 0.000 0.751
3 Sn 0.000 0.000 0.000
4 Sn 0.000 0.500 0.622
5 Sn 0.000 0.500 0.881
6 Sn 0.500 0.000 0.119
7 Sn 0.500 0.000 0.378
8 Sn 0.500 0.500 0.000
9 Sn 0.500 0.500 0.500
10 Bi 0.000 0.000 0.500

Results
* ρ: 5.63 Mg/m³
* calculated formation energy: -0.1258 eV per atom
* N(E_F): 5.81 states/eV/f.u.